The following is a PBE-GGA calculation of a relaxed structure of ZrTlIn3, from the Alexandria database.

Computed properties:
Calculated formation energy (eV per formula unit): 2.07
Space group: Pm-3m (221)

Cell: 5.645 5.645 5.645 Å, 90.00 90.00 90.00°
Atoms (fractional coordinates):
Tl  0.500  0.500  0.500
In  0.000  0.500  0.000
In  0.500  0.000  0.000
In  0.000  0.000  0.500
Zr  0.000  0.000  0.000

=====

The following is a PBE-GGA calculation of a relaxed structure of ZrTlIn2, from the Alexandria database.

Computed properties:
Calculated formation energy (eV per formula unit): 1.02
Space group: Fm-3m (225)

Cell: 5.250 5.250 5.250 Å, 60.00 60.00 60.00°
Atoms (fractional coordinates):
In  0.250  0.250  0.250
In  0.750  0.750  0.750
Zr  0.000  0.000  0.000
Tl  0.500  0.500  0.500

=====

The following is a PBE-GGA calculation of a relaxed structure of ZrTl2In, from the Alexandria database.

Computed properties:
Calculated formation energy (eV per formula unit): 0.43
Space group: P4/mmm (123)

Cell: 3.223 3.223 9.982 Å, 90.00 90.00 90.00°
Atoms (fractional coordinates):
Zr  0.500  0.500  0.250
Tl  0.000  0.000  0.023
Tl  0.000  0.000  0.477
In  0.500  0.500  0.750

=====

The following is a PBE-GGA calculation of a relaxed structure of ZrTl2In2, from the Alexandria database.

Computed properties:
Calculated formation energy (eV per formula unit): 1.25
Space group: P4/mbm (127)

Cell: 8.147 8.147 3.928 Å, 90.00 90.00 90.00°
Atoms (fractional coordinates):
Tl  0.356  0.856  0.000
Tl  0.644  0.144  0.000
Tl  0.856  0.644  0.000
Tl  0.144  0.356  0.000
In  0.841  0.341  0.500
In  0.159  0.659  0.500
In  0.341  0.159  0.500
In  0.659  0.841  0.500
Zr  0.500  0.500  0.000
Zr  0.000  0.000  0.000

=====

The following is a PBE-GGA calculation of a relaxed structure of ZrTl2In, from the Alexandria database.

Computed properties:
Calculated formation energy (eV per formula unit): 0.16
Space group: Pmm2 (25)

Cell: 3.447 4.534 6.431 Å, 90.00 90.00 90.00°
Atoms (fractional coordinates):
Tl  0.000  0.000  0.999
Tl  0.500  0.500  0.263
Zr  0.000  0.000  0.508
In  0.500  0.500  0.730

=====

The following is a PBE-GGA calculation of a relaxed structure of Zr5Tl2In, from the Alexandria database.

Computed properties:
Calculated formation energy (eV per formula unit): -1.13
Space group: I4/mmm (139)

Cell: 4.478 4.478 9.623 Å, 103.45 103.45 90.00°
Atoms (fractional coordinates):
Zr  0.378  0.878  0.755
Zr  0.622  0.122  0.245
Zr  0.500  0.500  0.000
Zr  0.878  0.378  0.755
Zr  0.122  0.622  0.245
Tl  0.750  0.750  0.500
Tl  0.250  0.250  0.500
In  0.000  0.000  0.000

=====

The following is a PBE-GGA calculation of a relaxed structure of ZrTlIn2, from the Alexandria database.

Computed properties:
Calculated formation energy (eV per formula unit): 0.05
Space group: Pmmm (47)

Cell: 3.206 5.540 5.581 Å, 90.00 90.00 90.00°
Atoms (fractional coordinates):
Tl  0.500  0.000  0.500
Zr  0.000  0.500  0.500
In  0.500  0.500  0.000
In  0.000  0.000  0.000

=====

The following is a PBE-GGA calculation of a relaxed structure of ZrTl2In, from the Alexandria database.

Computed properties:
Calculated formation energy (eV per formula unit): 0.33
Space group: Cmm2 (35)

Cell: 3.324 3.324 10.653 Å, 90.00 90.00 115.88°
Atoms (fractional coordinates):
In  0.500  0.500  0.733
Tl  0.500  0.500  0.266
Tl  0.000  0.000  0.996
Zr  0.000  0.000  0.505

=====

The following is a PBE-GGA calculation of a relaxed structure of ZrTl2In, from the Alexandria database.

Computed properties:
Calculated formation energy (eV per formula unit): 0.56
Space group: Cmmm (65)

Cell: 3.336 3.336 10.544 Å, 90.00 90.00 116.27°
Atoms (fractional coordinates):
Zr  0.500  0.500  0.250
Tl  0.000  0.000  0.010
Tl  0.000  0.000  0.490
In  0.500  0.500  0.750

=====

The following is a PBE-GGA calculation of a relaxed structure of Zr5TlIn4, from the Alexandria database.

Computed properties:
Calculated formation energy (eV per formula unit): -2.69
Space group: P4/mmm (123)

Cell: 3.175 3.175 22.153 Å, 90.00 90.00 90.00°
Atoms (fractional coordinates):
Zr  0.500  0.500  0.301
Zr  0.500  0.500  0.500
Zr  0.500  0.500  0.103
Zr  0.500  0.500  0.699
Zr  0.500  0.500  0.897
In  0.000  0.000  0.798
In  0.000  0.000  0.202
In  0.000  0.000  0.600
In  0.000  0.000  0.400
Tl  0.000  0.000  0.000

=====

The following is a PBE-GGA calculation of a relaxed structure of Zr6TlIn3, from the Alexandria database.

Computed properties:
Calculated formation energy (eV per formula unit): -0.07
Space group: Cmc2_1 (36)

Cell: 6.895 9.005 9.005 Å, 119.77 90.00 90.00°
Atoms (fractional coordinates):
Zr  0.000  0.736  0.264
Zr  0.829  0.427  0.964
Zr  0.829  0.036  0.573
Zr  0.580  0.233  0.387
Zr  0.500  0.264  0.736
Zr  0.329  0.964  0.427
Zr  0.329  0.573  0.036
Zr  0.321  0.963  0.037
Zr  0.080  0.387  0.233
Zr  0.821  0.037  0.963
Zr  0.580  0.613  0.767
Zr  0.080  0.767  0.613
In  0.002  0.100  0.300
In  0.696  0.592  0.408
In  0.502  0.300  0.100
In  0.196  0.408  0.592
In  0.502  0.900  0.700
In  0.002  0.700  0.900
Tl  0.146  0.158  0.842
Tl  0.646  0.842  0.158

=====

The following is a PBE-GGA calculation of a relaxed structure of ZrTlIn2, from the Alexandria database.

Computed properties:
Calculated formation energy (eV per formula unit): 0.77
Space group: R3m (160)

Cell: 4.701 4.701 6.348 Å, 68.27 68.27 60.00°
Atoms (fractional coordinates):
In  0.072  0.072  0.783
In  0.262  0.262  0.213
Zr  0.673  0.673  0.982
Tl  0.493  0.493  0.522

=====

| no. | size of the total moment (μB per atom) | DOS at the Fermi energy (states/eV/cell) |
| --- | --- | --- |
| 1 | 0.0000 | 4.3 |
| 2 | 0.0000 | 3.6 |
| 3 | 0.0000 | 2.8 |
| 4 | 0.0000 | 8.0 |
| 5 | 0.0000 | 2.7 |
| 6 | 0.0000 | 9.1 |
| 7 | 0.0000 | 2.4 |
| 8 | 0.0000 | 3.0 |
| 9 | 0.0000 | 4.1 |
| 10 | 0.0000 | 8.1 |
| 11 | 0.0000 | 15.0 |
| 12 | 0.0000 | 3.0 |